This record from Alexandria describes crystalline NaAc8Pb6 at its relaxed geometry. The functional is PBE.

Final energy in eV per atom: -4.144
DFT formation energy in eV per atom: -0.38

Cell lengths 10.1121, 10.1121, 9.1067 Å; angles 56.28, 56.28, 60.00 degrees
Element x y z (fractional)
Pb (0.2712, 0.5822, 0.2140)
Pb (0.9326, 0.2712, 0.2140)
Pb (0.7288, 0.4178, 0.7860)
Pb (0.0674, 0.7288, 0.7860)
Pb (0.5822, 0.9326, 0.2140)
Pb (0.4178, 0.0674, 0.7860)
Ac (0.3327, 0.3327, 0.0019)
Ac (0.1023, 0.4102, 0.7073)
Ac (0.4102, 0.7801, 0.7073)
Ac (0.8977, 0.5898, 0.2927)
Ac (0.6673, 0.6673, 0.9981)
Ac (0.5898, 0.2199, 0.2927)
Ac (0.7801, 0.1023, 0.7073)
Ac (0.2199, 0.8977, 0.2927)
Na (0.0000, 0.0000, 0.0000)



This record from Alexandria describes crystalline NaAc4Pb3 at its relaxed geometry. The functional is PBE.

Final energy in eV per atom: -3.959
DFT formation energy in eV per atom: -0.35

Cell lengths 5.6394, 5.6395, 9.9003 Å; angles 106.52, 106.55, 90.00 degrees
Element x y z (fractional)
Pb (0.7469, 0.2468, 0.4938)
Pb (0.2531, 0.7532, 0.5062)
Pb (0.0000, 0.5000, 0.0000)
Na (0.5000, 0.0000, 0.0000)
Ac (0.8724, 0.8723, 0.7447)
Ac (0.3724, 0.3724, 0.7447)
Ac (0.1276, 0.1277, 0.2553)
Ac (0.6276, 0.6276, 0.2553)



This record from Alexandria describes crystalline NaAc4Pb5 at its relaxed geometry. The functional is PBE.

Final energy in eV per atom: -4.032
DFT formation energy in eV per atom: -0.40

Cell lengths 3.8580, 3.8580, 22.8995 Å; angles 90.00, 90.00, 90.00 degrees
Element x y z (fractional)
Pb (0.5000, 0.5000, 0.9143)
Pb (0.5000, 0.5000, 0.0857)
Pb (0.5000, 0.5000, 0.7065)
Pb (0.5000, 0.5000, 0.5000)
Pb (0.5000, 0.5000, 0.2935)
Ac (0.0000, 0.0000, 0.1889)
Ac (0.0000, 0.0000, 0.3966)
Ac (0.0000, 0.0000, 0.6034)
Ac (0.0000, 0.0000, 0.8111)
Na (0.0000, 0.0000, 0.0000)



This record from Alexandria describes crystalline Na4Ac3Pb4 at its relaxed geometry. The functional is PBE.

Energy above the most stable polymorph in this dataset in meV per atom: 81
Final energy in eV per atom: -3.181
DFT formation energy in eV per atom: -0.23

Cell lengths 5.1917, 6.9635, 11.1770 Å; angles 90.00, 90.00, 111.89 degrees
Element x y z (fractional)
Na (0.1202, 0.2405, 0.6851)
Na (0.5342, 0.0684, 0.0000)
Na (0.6903, 0.3805, 0.5000)
Na (0.1202, 0.2405, 0.3149)
Ac (0.2090, 0.4181, 0.0000)
Ac (0.4116, 0.8233, 0.2930)
Ac (0.4116, 0.8233, 0.7070)
Pb (0.9089, 0.8177, 0.0000)
Pb (0.7261, 0.4523, 0.2095)
Pb (0.7261, 0.4523, 0.7905)
Pb (0.9401, 0.8802, 0.5000)



This record from Alexandria describes crystalline NaAc2Pb at its relaxed geometry. The functional is PBE.

Energy above the most stable polymorph in this dataset in meV per atom: 0
Final energy in eV per atom: -3.524
DFT formation energy in eV per atom: -0.21

Cell lengths 4.7504, 5.5330, 5.5330 Å; angles 90.00, 90.00, 90.00 degrees
Element x y z (fractional)
Pb (0.5000, 0.0000, 0.0000)
Ac (0.0000, 0.0000, 0.5000)
Ac (0.0000, 0.5000, 0.0000)
Na (0.5000, 0.5000, 0.5000)



This record from Alexandria describes crystalline Na6AcPb2 at its relaxed geometry. The functional is PBE.

Final energy in eV per atom: -2.288
DFT formation energy in eV per atom: -0.13

Cell lengths 4.7728, 4.7728, 13.5346 Å; angles 90.00, 90.00, 90.00 degrees
Element x y z (fractional)
Na (0.0000, 0.0000, 0.5000)
Na (0.5000, 0.0000, 0.2772)
Na (0.0000, 0.5000, 0.2772)
Na (0.0000, 0.5000, 0.7228)
Na (0.5000, 0.0000, 0.7228)
Na (0.5000, 0.5000, 0.5000)
Pb (0.5000, 0.5000, 0.1112)
Pb (0.5000, 0.5000, 0.8888)
Ac (0.0000, 0.0000, 0.0000)



This record from Alexandria describes crystalline NaAc3Pb2 at its relaxed geometry. The functional is PBE.

Final energy in eV per atom: -3.759
DFT formation energy in eV per atom: -0.25

Cell lengths 7.0821, 8.3656, 8.8961 Å; angles 103.55, 113.46, 90.00 degrees
Element x y z (fractional)
Ac (0.7135, 0.2500, 0.0000)
Ac (0.2865, 0.7500, 0.0000)
Ac (0.1799, 0.0920, 0.3735)
Ac (0.1936, 0.5920, 0.3735)
Ac (0.8064, 0.4080, 0.6265)
Ac (0.8201, 0.9080, 0.6265)
Pb (0.6363, 0.0736, 0.2853)
Pb (0.3637, 0.9264, 0.7147)
Pb (0.6490, 0.5736, 0.2853)
Pb (0.3510, 0.4264, 0.7147)
Na (0.2314, 0.2500, 0.0000)
Na (0.7686, 0.7500, 0.0000)



This record from Alexandria describes crystalline NaAcPb at its relaxed geometry. The functional is PBE.

Energy above the most stable polymorph in this dataset in meV per atom: 267
Final energy in eV per atom: -3.173
DFT formation energy in eV per atom: -0.13

Cell lengths 4.5703, 4.5703, 5.9682 Å; angles 112.51, 112.51, 90.00 degrees
Element x y z (fractional)
Ac (0.9431, 0.9431, 0.8861)
Na (0.6171, 0.6171, 0.2342)
Pb (0.2898, 0.2898, 0.5796)